Material: AcCuAsF
Method: DFT, GGA-PBE
State: optimized geometry

Cell and atoms, written as POSCAR:
```
AcCuAsF
1.0
4.169 0.000 0.000
0.000 4.169 0.000
0.000 0.000 8.737
Ac Cu As F
2 2 2 2
Direct
0.250 0.250 0.193
0.750 0.750 0.807
0.250 0.750 0.500
0.750 0.250 0.500
0.250 0.250 0.666
0.750 0.750 0.334
0.250 0.750 0.000
0.750 0.250 0.000
```

- total energy (eV per atom) = -5.617

Material: AcGdCuAs
Method: DFT, GGA-PBE
State: optimized geometry

Cell and atoms, written as POSCAR:
```
AcGdCuAs
1.0
0.000 3.705 3.705
3.705 0.000 3.705
3.705 3.705 0.000
Ac Gd Cu As
1 1 1 1
Direct
0.000 0.000 0.000
0.500 0.500 0.500
0.250 0.250 0.250
0.750 0.750 0.750
```

- total energy (eV per atom) = -7.274